First-principles (PBE) data for a relaxed structure of LuSiIr, as listed in OQMD via LeMat-Bulk.

Calculated values
Space group = No. 189
M_tot = 0.03 μB/cell
Final energy = -59.88 eV for the cell shown

POSCAR file:
```
LuSiIr
1.0
-5.8348 -2.5623 4.3232
-0.7343 0.3217 -7.6589
1.0712 -2.8118 -0.2208
Ir Lu Si
3 3 3
direct
0.6117 0.0000 0.5000
0.3883 0.3883 0.5000
0.0000 0.6117 0.5000
0.2891 0.0000 0.0000
0.0000 0.2891 0.0000
0.7109 0.7109 0.0000
0.6667 0.3333 0.0000
0.3333 0.6667 0.0000
0.0000 0.0000 0.5000
```


First-principles (PBE) data for a relaxed structure of TbSiGePd2, as listed in OQMD via LeMat-Bulk.

Calculated values
Energy above the most stable polymorph in this dataset = 0.030 eV/atom
Space group = No. 129
M_tot = 0.01 μB/cell
Final energy = -58.57 eV for the cell shown

POSCAR file:
```
TbSiGePd2
1.0
4.2166 0.0000 0.0000
0.0000 4.2166 0.0000
0.0000 0.0000 10.2085
Ge Pd Si Tb
2 4 2 2
direct
0.0000 0.0000 0.5000
0.5000 0.5000 0.5000
0.0000 0.0000 0.0000
0.5000 0.5000 0.0000
0.5000 0.0000 0.3587
0.0000 0.5000 0.6413
0.5000 0.0000 0.1271
0.0000 0.5000 0.8729
0.0000 0.5000 0.2464
0.5000 0.0000 0.7536
```


First-principles (PBE) data for a relaxed structure of MgPd, as listed in OQMD via LeMat-Bulk.

Calculated values
Space group = No. 59
Final energy = -15.64 eV for the cell shown

POSCAR file:
```
MgPd
1.0
4.5729 0.0000 0.0000
0.0000 2.9985 0.0000
0.0000 0.0000 4.8281
Mg Pd
2 2
direct
0.0406 0.0000 0.0000
0.7927 0.5000 0.5000
0.5360 0.5000 0.0000
0.2973 0.0000 0.5000
```


First-principles (PBE) data for a relaxed structure of AcHoAsO, as listed in OQMD via LeMat-Bulk.

Calculated values
Energy above the most stable polymorph in this dataset = 0.020 eV/atom
Space group = No. 129
M_tot = 0.00 μB/cell
Final energy = -52.69 eV for the cell shown

POSCAR file:
```
AcHoAsO
1.0
-1.7334 -3.7241 1.9226
2.1784 0.9769 3.8562
-7.4205 4.9683 2.9332
Ac As Ho O
2 2 2 2
direct
0.2500 0.2500 0.1183
0.7500 0.7500 0.8817
0.7500 0.7500 0.3169
0.2500 0.2500 0.6831
0.7500 0.2500 0.5000
0.2500 0.7500 0.5000
0.7500 0.2500 0.0000
0.2500 0.7500 0.0000
```


First-principles (PBE) data for a relaxed structure of TbEr2Ag4Sn4, as listed in OQMD via LeMat-Bulk.

Calculated values
Space group = No. 71
M_tot = 0.00 μB/cell
Final energy = -46.24 eV for the cell shown

POSCAR file:
```
TbEr2Ag4Sn4
1.0
2.8347 5.7173 5.9899
-5.4878 5.7608 3.6468
2.3959 -8.2847 -1.4919
Ag Er Sn Tb
4 2 4 1
direct
0.6296 0.3286 0.3010
0.9724 0.6714 0.3010
0.3704 0.6714 0.6990
0.0276 0.3286 0.6990
0.6268 0.1268 0.5000
0.3732 0.8732 0.5000
0.2153 0.2153 0.0000
0.7847 0.7847 0.0000
0.6958 0.5000 0.1958
0.3042 0.5000 0.8042
0.0000 0.0000 0.0000
```


First-principles (PBE) data for a relaxed structure of LuTlSnTe3, as listed in OQMD via LeMat-Bulk.

Calculated values
Energy above the most stable polymorph in this dataset = 0.000 eV/atom
Space group = No. 63
M_tot = 0.01 μB/cell
Final energy = -48.22 eV for the cell shown

POSCAR file:
```
LuTlSnTe3
1.0
-1.4146 6.2542 5.1948
-0.2937 -8.0719 -1.6912
11.2956 -1.4115 4.7754
Lu Sn Te Tl
2 2 6 2
direct
0.0000 0.0000 0.0000
0.0000 0.0000 0.5000
0.3788 0.6212 0.2500
0.6212 0.3788 0.7500
0.6326 0.3674 0.0014
0.0083 0.9917 0.2500
0.6326 0.3674 0.4986
0.3674 0.6326 0.5014
0.9917 0.0083 0.7500
0.3674 0.6326 0.9986
0.7086 0.2914 0.2500
0.2914 0.7086 0.7500
```


First-principles (PBE) data for a relaxed structure of NbNiTe3Pd, as listed in OQMD via LeMat-Bulk.

Calculated values
Energy above the most stable polymorph in this dataset = 0.029 eV/atom
Space group = No. 11
M_tot = 0.01 μB/cell
Final energy = -65.38 eV for the cell shown

POSCAR file:
```
NbNiTe3Pd
1.0
7.7634 0.0000 0.0000
0.0000 3.7469 0.0000
-2.9961 0.0000 10.1587
Nb Ni Pd Te
2 2 2 6
direct
0.2168 0.7500 0.2067
0.7832 0.2500 0.7933
0.3977 0.2500 0.4104
0.6023 0.7500 0.5896
0.9387 0.2500 0.0724
0.0613 0.7500 0.9276
0.3112 0.2500 0.0269
0.0539 0.2500 0.3384
0.5730 0.7500 0.3429
0.4270 0.2500 0.6571
0.9461 0.7500 0.6616
0.6888 0.7500 0.9731
```


First-principles (PBE) data for a relaxed structure of NdCdAgHg, as listed in OQMD via LeMat-Bulk.

Calculated values
Space group = No. 216
M_tot = 0.00 μB/cell
Final energy = -10.26 eV for the cell shown
Energy of formation = -0.3709 eV per atom

POSCAR file:
```
NdCdAgHg
1.0
-3.4777 -3.6930 -0.5885
-4.9385 1.1996 -0.5009
-2.3336 -0.6161 -4.5004
Ag Cd Hg Nd
1 1 1 1
direct
0.2500 0.2500 0.2500
0.0000 0.0000 0.0000
0.7500 0.7500 0.7500
0.5000 0.5000 0.5000
```


First-principles (PBE) data for a relaxed structure of DyCoSi, as listed in OQMD via LeMat-Bulk.

Calculated values
Space group = No. 62
M_tot = 0.00 μB/cell
Final energy = -77.22 eV for the cell shown

POSCAR file:
```
DyCoSi
1.0
6.8943 0.0000 0.0000
0.0000 4.1788 0.0000
0.0000 0.0000 6.8576
Co Dy Si
4 4 4
direct
0.1452 0.2500 0.0672
0.6452 0.2500 0.4328
0.3548 0.7500 0.5672
0.8548 0.7500 0.9328
0.5183 0.7500 0.1868
0.0183 0.7500 0.3132
0.9817 0.2500 0.6868
0.4817 0.2500 0.8132
0.8059 0.2500 0.1067
0.3059 0.2500 0.3933
0.6941 0.7500 0.6067
0.1941 0.7500 0.8933
```


First-principles (PBE) data for a relaxed structure of Sr2InSn3Ir2, as listed in OQMD via LeMat-Bulk.

Calculated values
Space group = No. 8
M_tot = 0.00 μB/cell
Final energy = -39.99 eV for the cell shown

POSCAR file:
```
Sr2InSn3Ir2
1.0
5.7007 -2.2173 0.0000
5.7007 2.2173 0.0000
-0.0546 0.0000 7.7466
In Ir Sn Sr
1 2 3 2
direct
0.8500 0.8500 0.5496
0.7135 0.7135 0.2455
0.2842 0.2842 0.7571
0.1503 0.1503 0.0523
0.1561 0.1561 0.4512
0.8469 0.8469 0.9469
0.4362 0.4362 0.2483
0.5630 0.5630 0.7492
```


- Which of these has the highest final energy?
  NdCdAgHg